Entry from the Alexandria database: a relaxed structure of AsPIr (PBEsol).

Geometry as POSCAR:
```
AsPIr
1.0
-1.456 2.064 3.764
1.456 -2.064 3.764
1.456 2.064 -3.764
As P Ir
1 1 1
Direct
0.000 0.000 0.000 As
0.328 0.328 0.000 P
0.646 0.646 0.000 Ir
```

Properties
- total magnetic moment (μB per cell) = 0.000
- DFT formation energy (eV/atom) = 0.345
- crystal system = orthorhombic
- VASP energy (eV per atom) = -6.563
- energy above the most stable polymorph in this dataset (meV/atom) = 454

=====

Entry from the Alexandria database: a relaxed structure of AsPIr2Pd (PBEsol).

Geometry as POSCAR:
```
AsPIr2Pd
1.0
4.315 0.000 0.000
0.000 4.315 0.000
0.000 0.000 4.696
As P Ir Pd
1 1 2 1
Direct
0.000 0.000 0.000 As
0.000 0.000 0.500 P
0.000 0.500 0.500 Ir
0.500 0.000 0.500 Ir
0.500 0.500 0.000 Pd
```

Properties
- total magnetic moment (μB per cell) = 0.000
- DFT formation energy (eV/atom) = 0.806
- crystal system = tetragonal
- VASP energy (eV per atom) = -6.495